1.
{"formula": "Ba2CaCdS4", "functional": "PBE-GGA", "state": "relaxed", "volume_a3_per_atom": 27.43, "e_form_raw_ev_per_atom": -1.63, "dos_ef_per_ev_fu": 0.0, "crystal_system": "orthorhombic", "lattice_angstrom": [[-2.942, 4.767, -6.454], [-2.757, -7.105, -3.868], [-2.480, 1.680, 7.892]], "species": ["S", "Ba", "S", "Ca", "Cd", "Cd", "S", "S", "S", "S", "S", "S", "Ba", "Ba", "Ba", "Ca"], "fractional_positions": [[0.238, 0.722, 0.480], [0.500, 0.500, 0.000], [0.241, 0.259, 0.026], [0.000, 0.500, 0.500], [0.000, 0.000, 0.000], [0.500, 0.500, 0.500], [0.759, 0.741, 0.526], [0.241, 0.259, 0.474], [0.222, 0.738, 0.980], [0.759, 0.741, 0.974], [0.778, 0.262, 0.020], [0.762, 0.278, 0.520], [0.500, 0.000, 0.000], [0.500, 0.000, 0.500], [0.000, 0.000, 0.500], [0.000, 0.500, 0.000]]}


2.
{"formula": "SrLa2GaNi", "functional": "PBE-GGA", "state": "relaxed", "volume_a3_per_atom": 29.13, "dos_ef_per_ev_fu": 5.0, "delta_e_f_ev_per_atom": -0.154, "crystal_system": "tetragonal", "lattice_angstrom": [[-0.745, 1.049, 5.348], [5.212, -1.438, 1.008], [1.392, 4.556, -0.700]], "species": ["Ni", "La", "Sr", "Ga", "La"], "fractional_positions": [[0.000, 0.000, 0.000], [0.500, 0.000, 0.000], [0.500, 0.500, 0.500], [0.000, 0.000, 0.500], [0.000, 0.500, 0.000]]}


3.
{"formula": "Pm3ScTl5", "functional": "PBE-GGA", "state": "relaxed", "volume_a3_per_atom": 28.00, "dos_ef_per_ev_fu": 9.1, "delta_e_f_ev_per_atom": -0.338, "crystal_system": "hexagonal", "lattice_angstrom": [[-1.247, 5.420, 3.502], [-1.074, -5.246, 7.737], [8.484, 3.399, -2.240]], "species": ["Tl", "Pm", "Sc", "Pm", "Tl", "Pm", "Pm", "Tl", "Tl", "Tl", "Sc", "Pm", "Tl", "Tl", "Tl", "Tl", "Tl", "Pm"], "fractional_positions": [[0.250, 0.284, 0.000], [0.250, 0.000, 0.627], [0.500, 0.000, 0.000], [0.750, 0.373, 0.000], [0.250, 0.716, 0.716], [0.250, 0.627, 0.000], [0.750, 0.000, 0.373], [0.750, 0.716, 0.000], [0.750, 0.000, 0.716], [0.750, 0.284, 0.284], [0.000, 0.000, 0.000], [0.250, 0.373, 0.373], [0.500, 0.667, 0.333], [0.250, 0.000, 0.284], [0.000, 0.667, 0.333], [0.500, 0.333, 0.667], [0.000, 0.333, 0.667], [0.750, 0.627, 0.627]]}


4.
{"formula": "Dy3Er8Th2", "functional": "PBE-GGA", "state": "relaxed", "volume_a3_per_atom": 31.95, "dos_ef_per_ev_fu": 18.1, "delta_e_f_ev_per_atom": 0.150, "e_above_lowest_polymorph_ev_per_atom": 0.000, "crystal_system": "triclinic", "lattice_angstrom": [[-6.545, -1.825, -10.491], [4.714, -3.248, 3.633], [-5.982, -9.912, 11.143]], "species": ["Er", "Dy", "Er", "Dy", "Th", "Th", "Er", "Er", "Er", "Dy", "Th", "Er", "Th", "Er", "Er", "Er", "Er", "Er", "Er", "Dy", "Er", "Dy", "Er", "Er", "Dy", "Er"], "fractional_positions": [[0.199, 0.576, 0.646], [0.000, 0.000, 0.000], [0.719, 0.791, 0.394], [0.483, 0.363, 0.277], [0.103, 0.382, 0.436], [0.735, 0.152, 0.152], [0.022, 0.171, 0.224], [0.618, 0.422, 0.931], [0.281, 0.209, 0.606], [0.517, 0.637, 0.723], [0.265, 0.848, 0.848], [0.802, 0.977, 0.582], [0.897, 0.618, 0.564], [0.801, 0.424, 0.354], [0.978, 0.829, 0.776], [0.198, 0.023, 0.418], [0.331, 0.440, 0.876], [0.412, 0.777, 0.275], [0.745, 0.108, 0.943], [0.500, 0.000, 0.500], [0.588, 0.223, 0.725], [0.892, 0.202, 0.777], [0.255, 0.892, 0.057], [0.669, 0.560, 0.124], [0.108, 0.798, 0.223], [0.382, 0.578, 0.069]]}